## LaSc3Mn (PBE)

Data for LaSc3Mn after structural relaxation.

Computed properties:
Energy relative to the elements ... 1.59 eV/atom
Magnetic moment ... 0.09 μB/f.u.
Fermi-level density of states ... 8.30 states/eV per cell
Polymorph energy (0 for the lowest one) ... 1488.7 meV per atom
Volume ... 132.0 Å³ per cell

Cell: 5.0921 5.0921 5.0921 Å, 90.00 90.00 90.00°
With the nearest neighbours (Å) after each atom.
Space group Pm-3m (No. 221)
Symmetry-distinct sites (fractional):
1 La 0.0000 0.0000 0.0000 (multiplicity 1)  6 Sc 2.55
2 Sc 0.0000 0.0000 0.5000 (multiplicity 3)  2 La 2.55
3 Mn 0.5000 0.5000 0.5000 (multiplicity 1)  12 Sc 3.60

=====

## La4ScMn (PBE)

Data for La4ScMn after structural relaxation.

Computed properties:
Energy relative to the elements ... 0.58 eV/atom
Magnetic moment ... 3.71 μB/f.u.
Fermi-level density of states ... 42.25 states/eV per cell
Volume ... 785.7 Å³ per cell

Cell: 9.2274 9.2274 9.2274 Å, 90.00 90.00 90.00°
With the nearest neighbours (Å) after each atom.
Space group F-43m (No. 216)
Symmetry-distinct sites (fractional):
1 La 0.1247 0.1247 0.1247 (multiplicity 16)  6 La 3.25-3.27
2 Sc 0.0000 0.0000 0.5000 (multiplicity 4)  12 La 3.83, 4 Mn 4.00
3 Mn 0.2500 0.2500 0.7500 (multiplicity 4)  12 La 3.82, 4 Sc 4.00

=====

## La2ScMn (PBE)

Data for La2ScMn after structural relaxation.

Computed properties:
Energy relative to the elements ... 0.30 eV/atom
Magnetic moment ... 3.18 μB/f.u.
Fermi-level density of states ... 19.14 states/eV per cell
Polymorph energy (0 for the lowest one) ... 151.9 meV per atom
Volume ... 332.4 Å³ per cell

Cell: 3.4834 3.4834 31.6338 Å, 90.00 90.00 120.00°
With the nearest neighbours (Å) after each atom.
Space group R3m (No. 160, hexagonal axes)
Symmetry-distinct sites (fractional):
1 La 0.0000 0.0000 0.0000 (multiplicity 3)  3 Mn 3.13, 6 La 3.48
2 La 0.0000 0.0000 0.2347 (multiplicity 3)  9 La 3.48-3.71, 3 Sc 3.61
3 Sc 0.0000 0.0000 0.4734 (multiplicity 3)  3 Mn 2.86
4 Mn 0.0000 0.0000 0.7424 (multiplicity 3)  3 Sc 2.86, 3 La 3.13

=====

- What is the magnetic moment in the second record?
  3.71 μB/f.u.

=====

- Which value of volume does entry 2 give?
  785.7 Å³ per cell

=====

Copy entry 2 word for word.
## La4ScMn (PBE)

Data for La4ScMn after structural relaxation.

Computed properties:
Energy relative to the elements ... 0.58 eV/atom
Magnetic moment ... 3.71 μB/f.u.
Fermi-level density of states ... 42.25 states/eV per cell
Volume ... 785.7 Å³ per cell

Cell: 9.2274 9.2274 9.2274 Å, 90.00 90.00 90.00°
With the nearest neighbours (Å) after each atom.
Space group F-43m (No. 216)
Symmetry-distinct sites (fractional):
1 La 0.1247 0.1247 0.1247 (multiplicity 16)  6 La 3.25-3.27
2 Sc 0.0000 0.0000 0.5000 (multiplicity 4)  12 La 3.83, 4 Mn 4.00
3 Mn 0.2500 0.2500 0.7500 (multiplicity 4)  12 La 3.82, 4 Sc 4.00

=====

- Which of these has the highest magnetic moment?
  La4ScMn